[1]
DFT (PBE) results for crystalline Sm3Y6Ho2In at its relaxed geometry.

Structure (extended XYZ):
```
12
Lattice="3.074 -5.327 0.000 3.074 5.327 0.000 -2.061 0.000 11.496" Properties=species:S:1:pos:R:3 pbc="T T T"
Sm 0.000 0.000 0.000
Sm 3.074 1.776 0.000
Sm 3.074 -1.776 0.000
Y 1.044 1.745 2.950
Y 0.021 0.000 8.560
Y 1.044 -1.745 2.950
Y 3.043 1.745 8.546
Y 4.066 0.000 2.937
Y 3.043 -1.745 8.546
Ho 2.043 3.558 5.748
Ho 2.043 -3.558 5.748
In 2.043 0.000 5.748
```

Summary:
Density   6.3 g/cm3
Symmetry   No. 12

---

[2]
DFT (PBE) results for crystalline Sm3Y2Ho6In at its relaxed geometry.

Structure (extended XYZ):
```
12
Lattice="3.054 -5.291 0.000 3.054 5.291 0.000 -2.046 0.000 11.486" Properties=species:S:1:pos:R:3 pbc="T T T"
Sm 0.000 0.000 0.000
Sm 3.054 1.768 0.000
Sm 3.054 -1.768 0.000
Y 2.031 3.532 5.743
Y 2.031 -3.532 5.743
Ho 1.037 1.735 2.925
Ho 0.018 0.000 8.575
Ho 1.037 -1.735 2.925
Ho 3.025 1.735 8.561
Ho 4.044 0.000 2.911
Ho 3.025 -1.735 8.561
In 2.031 0.000 5.743
```

Summary:
Density   7.8 g/cm3
Symmetry   No. 12

---

[3]
DFT (PBE) results for crystalline Sm2Y6Ho3In at its relaxed geometry.

Structure (extended XYZ):
```
12
Lattice="3.055 -5.295 0.000 3.055 5.295 0.000 -2.044 0.000 11.532" Properties=species:S:1:pos:R:3 pbc="T T T"
Sm 3.055 3.535 0.000
Sm 3.055 -3.535 0.000
Y 0.016 1.733 8.666
Y 1.050 0.000 2.878
Y 0.016 -1.733 8.666
Y 4.050 1.733 2.866
Y 3.016 0.000 8.654
Y 4.050 -1.733 2.866
Ho -1.022 0.000 5.766
Ho 2.033 1.762 5.766
Ho 2.033 -1.762 5.766
In 3.055 0.000 0.000
```

Summary:
Density   6.4 g/cm3
Symmetry   No. 12

---

[4]
DFT (PBE) results for crystalline SmHoZn2In2 at its relaxed geometry.

Structure (extended XYZ):
```
6
Lattice="4.690 0.000 0.000 -2.345 4.062 0.000 0.000 0.000 7.330" Properties=species:S:1:pos:R:3 pbc="T T T"
Sm 0.000 0.000 0.000
Ho 0.000 0.000 3.665
Zn 0.000 2.708 1.999
Zn 2.345 1.354 5.331
In 0.000 2.708 5.434
In 2.345 1.354 1.896
```

Summary:
Density   8.0 g/cm3
Symmetry   No. 164

---

[5]
DFT (PBE) results for crystalline Sm2HoZn2In2 at its relaxed geometry.

Structure (extended XYZ):
```
7
Lattice="2.357 1.361 9.241 -2.357 1.361 9.241 0.000 -2.722 9.241" Properties=species:S:1:pos:R:3 pbc="T T T"
Sm 0.000 0.000 3.512
Sm 0.000 0.000 24.210
Ho 0.000 0.000 0.000
Zn 0.000 0.000 10.886
Zn 0.000 0.000 16.835
In 0.000 0.000 7.381
In 0.000 0.000 20.341
```

Summary:
Density   7.7 g/cm3
Symmetry   No. 166

---

[6]
DFT (PBE) results for crystalline SmHo2Zn2In2 at its relaxed geometry.

Structure (extended XYZ):
```
7
Lattice="2.360 1.363 9.097 -2.360 1.363 9.097 0.000 -2.725 9.097" Properties=species:S:1:pos:R:3 pbc="T T T"
Sm 0.000 0.000 0.000
Ho 0.000 0.000 3.503
Ho 0.000 0.000 23.789
Zn 0.000 0.000 10.971
Zn 0.000 0.000 16.321
In 0.000 0.000 7.116
In 0.000 0.000 20.176
```

Summary:
Density   8.0 g/cm3
Symmetry   No. 166

---

[7]
DFT (PBE) results for crystalline SmHoZrIn at its relaxed geometry.

Structure (extended XYZ):
```
16
Lattice="7.600 0.000 0.000 0.000 7.600 0.000 0.000 0.000 7.600" Properties=species:S:1:pos:R:3 pbc="T T T"
Sm 0.000 0.000 0.000
Sm 0.000 3.800 3.800
Sm 3.800 0.000 3.800
Sm 3.800 3.800 0.000
Ho 0.000 0.000 3.800
Ho 0.000 3.800 0.000
Ho 3.800 0.000 0.000
Ho 3.800 3.800 3.800
Zr 1.900 1.900 5.700
Zr 1.900 5.700 1.900
Zr 5.700 1.900 1.900
Zr 5.700 5.700 5.700
In 1.900 1.900 1.900
In 1.900 5.700 5.700
In 5.700 1.900 5.700
In 5.700 5.700 1.900
```

Summary:
Density   7.9 g/cm3
Symmetry   No. 216

---

[8]
DFT (PBE) results for crystalline HoInSn2 at its relaxed geometry.

Structure (extended XYZ):
```
12
Lattice="4.621 0.000 0.000 -2.311 4.002 0.000 0.000 0.000 19.041" Properties=species:S:1:pos:R:3 pbc="T T T"
Ho 0.000 0.000 0.000
Ho 0.000 2.668 12.694
Ho 2.311 1.334 6.347
In 0.000 0.000 3.307
In 0.000 2.668 16.002
In 2.311 1.334 9.655
Sn 0.000 0.000 7.994
Sn 0.000 0.000 11.126
Sn 0.000 2.668 1.647
Sn 0.000 2.668 4.779
Sn 2.311 1.334 14.341
Sn 2.311 1.334 17.474
```

Summary:
Density   7.3 g/cm3
Symmetry   No. 160

---

Here are the calculated formation energy numbers, same order: -0.039, -0.041, -0.049, -0.441, -0.286, -0.281, -0.059, -0.197 (eV per atom).
Here are the calculated M_tot numbers, same order: 0.01, 0.49, 0.00, 0.00, 0.00, 0.00, 10.21, 0.00 (Bohr magnetons per cell).